# 1
The following is a DFT calculation (GGA-PBE) of a geometry-optimized Ho7Tl4Ga structure.

Lattice parameters (Å, degrees): 5.5275 9.2373 7.8874 81.04 69.49 72.59
Last column: nearest neighbours and their distance in Å.
Fractional positions:
Ho  0.6508  0.4193  0.2790  5 Tl 3.08-3.30
Ho  0.3492  0.5807  0.7210  5 Tl 3.08-3.30
Ho  0.9276  0.3082  0.8367  1 Ga 2.91, 3 Tl 3.17-3.25
Ho  0.0724  0.6918  0.1633  1 Ga 2.91, 3 Tl 3.17-3.25
Tl  0.4282  0.7790  0.3647  8 Ho 3.08-3.27
Tl  0.5718  0.2210  0.6353  8 Ho 3.08-3.27
Ga  0.0000  0.0000  0.0000  4 Ho 2.76-2.91
Ho  0.5000  0.0000  0.0000  2 Ga 2.76
Tl  0.7125  0.6573  0.9177  8 Ho 3.11-3.33
Ho  0.2142  0.1332  0.4383  4 Tl 3.13-3.24, 1 Ho 3.40
Ho  0.7858  0.8668  0.5617  4 Tl 3.13-3.24, 1 Ho 3.40
Tl  0.2875  0.3427  0.0823  8 Ho 3.11-3.33

## Properties
ΔH_f (0 K) (eV per atom): -0.09
Density of states at the Fermi level (states/eV/cell): 12.984
ρ (g/cm³): 9.436

# 2
The following is a DFT calculation (GGA-PBE) of a geometry-optimized Nb2Zn2Ir3 structure.

Lattice parameters (Å, degrees): 3.8874 2.8389 10.0227 90.00 78.82 90.00
Last column: nearest neighbours and their distance in Å.
Fractional positions:
Ir  0.0000  0.0000  0.0000  8 Nb 2.83, 4 Ir 2.84-2.90
Zn  0.2862  0.5000  0.4276  2 Zn 2.41
Ir  0.8523  0.0000  0.2954  4 Zn 2.74, 4 Nb 2.79, 3 Ir 2.84-2.90
Zn  0.7138  0.5000  0.5724  2 Zn 2.41
Ir  0.1477  0.0000  0.7046  4 Zn 2.74, 4 Nb 2.79, 3 Ir 2.84-2.90
Nb  0.4242  0.5000  0.1517  1 Zn 2.71, 8 Ir 2.79-2.83, 3 Nb 2.84-2.98
Nb  0.5758  0.5000  0.8483  1 Zn 2.71, 8 Ir 2.79-2.83, 3 Nb 2.84-2.98

## Properties
ΔH_f (0 K) (eV per atom): -0.32
Density of states at the Fermi level (states/eV/cell): 5.932
ρ (g/cm³): 13.670

# 3
The following is a DFT calculation (GGA-PBE) of a geometry-optimized Ho8Ge3Te4Br structure.

Lattice parameters (Å, degrees): 8.4467 8.5633 8.4468 119.55 120.00 90.00
Last column: nearest neighbours and their distance in Å.
Fractional positions:
Ho  0.7500  0.2768  0.4999  2 Ge 2.85, 1 Br 3.01, 3 Te 3.02-3.17
Te  0.5000  0.0000  0.5000  6 Ho 3.14-3.17
Te  0.0000  0.0000  0.0000  6 Ho 3.14-3.17
Ho  0.7396  0.7188  0.4792  3 Ge 2.88, 3 Te 3.14
Ge  0.5000  0.5000  0.5000  6 Ho 2.85-2.88
Te  0.0000  0.0000  0.5000  6 Ho 3.14-3.17
Ho  0.2769  0.2768  0.0269  2 Ge 2.85, 1 Br 3.01, 3 Te 3.02-3.17
Ho  0.2604  0.2812  0.5208  3 Ge 2.88, 3 Te 3.14
Ho  0.2500  0.7232  0.5001  2 Ge 2.85, 1 Br 3.01, 3 Te 3.02-3.17
Ho  0.2500  0.7232  0.9731  2 Ge 2.85, 1 Br 3.01, 3 Te 3.02-3.17
Ho  0.7500  0.2768  0.0269  2 Ge 2.85, 1 Br 3.01, 3 Te 3.02-3.17
Ho  0.7231  0.7232  0.9731  2 Ge 2.85, 1 Br 3.01, 3 Te 3.02-3.17
Br  0.0000  0.5000  0.0000  6 Ho 3.01
Te  0.5000  0.0000  0.0000  6 Ho 3.02
Ge  0.0000  0.5000  0.5000  6 Ho 2.85-2.88
Ge  0.5000  0.5000  0.0000  6 Ho 2.85-2.88

## Properties
Density of states at the Fermi level (states/eV/cell): 4.550
Formation energy (no corrections) (kJ per mole of atoms): -115.14
ρ (g/cm³): 8.124

# 4
The following is a DFT calculation (GGA-PBE) of a geometry-optimized Rb2AlAgBr6 structure.

Lattice parameters (Å, degrees): 7.6457 7.6457 7.6457 60.00 60.00 60.00
Last column: nearest neighbours and their distance in Å.
Fractional positions:
Rb  0.2500  0.2500  0.2500  12 Br 3.83
Al  0.0000  0.0000  0.0000  6 Br 2.54
Br  0.7649  0.2351  0.2351  1 Al 2.54
Br  0.2351  0.7649  0.7649  1 Al 2.54
Br  0.2351  0.2351  0.7649  1 Al 2.54
Br  0.2351  0.7649  0.2351  1 Al 2.54
Rb  0.7500  0.7500  0.7500  12 Br 3.83
Br  0.7649  0.7649  0.2351  1 Al 2.54
Ag  0.5000  0.5000  0.5000  6 Br 2.86
Br  0.7649  0.2351  0.7649  1 Al 2.54

## Properties
Formation energy (no corrections) (kJ per mole of atoms): -114.32
ρ (g/cm³): 4.126

# 5
The following is a DFT calculation (GGA-PBE) of a geometry-optimized NbB3Mo structure.

Lattice parameters (Å, degrees): 3.2667 3.1117 9.7900 90.00 99.60 90.00
Last column: nearest neighbours and their distance in Å.
Fractional positions:
B  0.6695  0.2500  0.3390  2 B 1.84
Nb  0.9290  0.7500  0.8580  12 B 2.43-2.51
B  0.4768  0.2500  0.9536  3 B 1.79-1.83
B  0.6182  0.7500  0.2364  3 B 1.83-1.84
Mo  0.7981  0.2500  0.5962  7 B 2.30-2.48
Mo  0.2019  0.7500  0.4038  7 B 2.30-2.48
B  0.3305  0.7500  0.6610  2 B 1.84
Nb  0.0710  0.2500  0.1420  12 B 2.43-2.51
B  0.5232  0.7500  0.0464  3 B 1.79-1.83
B  0.3818  0.2500  0.7636  3 B 1.83-1.84

## Properties
ΔH_f (0 K) (eV per atom): -0.63
Density of states at the Fermi level (states/eV/cell): 2.884
Distance to the lowest polymorph of the same formula (meV per atom): 0
ρ (g/cm³): 7.490

# 6
The following is a DFT calculation (GGA-PBE) of a geometry-optimized RbCeAs2Pt4 structure.

Lattice parameters (Å, degrees): 4.0484 4.0484 11.5412 90.00 90.00 90.00
Last column: nearest neighbours and their distance in Å.
Fractional positions:
Pt  0.0000  0.5000  0.1868  2 As 2.50
Rb  0.0000  0.0000  0.5000  8 As 3.58
Ce  0.0000  0.0000  0.0000  8 Pt 2.96
As  0.5000  0.5000  0.6865  4 Pt 2.50
Pt  0.5000  0.0000  0.1868  2 As 2.50
Pt  0.0000  0.5000  0.8132  2 As 2.50
Pt  0.5000  0.0000  0.8132  2 As 2.50
As  0.5000  0.5000  0.3135  4 Pt 2.50

## Properties
ΔH_f (0 K) (eV per atom): -0.61
Density of states at the Fermi level (states/eV/cell): 7.808
ρ (g/cm³): 10.146